(1)
A plane-wave DFT calculation with PBE was carried out for TlIn5Hg6 after structural relaxation.

abc: 5.9175 6.8395 9.3031
angles: 83.22 74.14 64.48
Sites, in units of the cell vectors:
Tl: 0.0000 0.0000 0.0000
In: 0.0000 0.0000 0.5000
In: 0.3174 0.3608 0.0004
In: 0.3484 0.2971 0.5020
In: 0.6516 0.7029 0.4980
In: 0.6826 0.6392 0.9996
Hg: 0.1746 0.6560 0.7351
Hg: 0.1765 0.6544 0.2638
Hg: 0.4748 0.0009 0.2331
Hg: 0.5252 0.9991 0.7669
Hg: 0.8235 0.3456 0.7362
Hg: 0.8254 0.3440 0.2649

Output
Calculated volume: 27.2 Å³ per atom

---

(2)
A plane-wave DFT calculation with PBE was carried out for PWAu2 after structural relaxation.

abc: 9.1057 9.1057 9.1057
angles: 18.56 18.56 18.56
Sites, in units of the cell vectors:
P: 0.0000 0.0000 0.0000
W: 0.5000 0.5000 0.5000
Au: 0.2522 0.2522 0.2522
Au: 0.7478 0.7478 0.7478

Output
ΔE to the lowest computed polymorph: 0.3445 eV/atom
Calculated volume: 16.7 Å³ per atom

---

Number 1: electronic total energy -1.49 eV/atom, ΔH_f (0 K) 1 meV per atom. Number 2: electronic total energy -5.78 eV/atom, ΔH_f (0 K) 453 meV per atom.